# LaZr2Pt2, relaxed, DFT GGA-PBEsol
data_LaZr2Pt2
_chemical_formula_sum 'La2 Zr4 Pt4'
_symmetry_space_group_name_H-M 'I 4/m m m'
_symmetry_Int_Tables_number 139
_symmetry_space_group_name_Hall '-I 4 2'
_cell_length_a 4.632
_cell_length_b 4.632
_cell_length_c 10.632
_cell_angle_alpha 90.00
_cell_angle_beta 90.00
_cell_angle_gamma 90.00
loop_
_atom_site_label
_atom_site_type_symbol
_atom_site_fract_x
_atom_site_fract_y
_atom_site_fract_z
La1 La 0.000 0.000 0.000
Zr1 Zr 0.000 0.500 0.250
Pt1 Pt 0.000 0.000 0.376
# ΔE_f ... -19.7 kcal/mol of atoms
# Fermi-level density of states ... 6.75 states/eV per cell